No. 1
This record from Alexandria via LeMat-Bulk describes an optimized crystal structure of CaMnGaSe2. The functional is PBE.

Unit cell a=5.126 b=5.126 c=4.918 alpha=90.00 beta=90.00 gamma=90.00
Space group P4/mmm (No. 123)
Inequivalent atoms, fractional coordinates:
Ca 0.000 0.000 0.000
Mn 0.500 0.500 0.500
Ga 0.500 0.500 0.000
Se 0.000 0.500 0.500

Output
Total magnetization, μB per cell: 3.50
Energy relative to the elements, uncorrected, meV per atom: -483
Crystal system: tetragonal
DFT total energy, eV for the cell shown: -23.6

No. 2
This record from Alexandria via LeMat-Bulk describes an optimized crystal structure of CaTc2Hg. The functional is PBE.

Unit cell a=2.795 b=2.795 c=9.512 alpha=90.00 beta=90.00 gamma=90.00
Space group P4/mmm (No. 123)
Inequivalent atoms, fractional coordinates:
Ca 0.000 0.000 0.000
Tc 0.500 0.500 0.263
Hg 0.000 0.000 0.500

Output
Total magnetization, μB per cell: 0.01
Energy relative to the elements, meV per atom: 770.8
Crystal system: tetragonal
DFT total energy, eV for the cell shown: -20.0

No. 3
This record from Alexandria via LeMat-Bulk describes an optimized crystal structure of Tb3Sm4Tm8. The functional is PBE.

Unit cell a=6.9046 b=6.9046 c=35.0846 alpha=90.00 beta=90.00 gamma=120.00
Space group R-3m (No. 166, hexagonal axes)
Inequivalent atoms, fractional coordinates:
Tb 0.0000 0.5000 0.0000
Sm 0.0000 0.0000 0.0000
Sm 0.0000 0.0000 0.1634
Sm 0.0000 0.0000 0.5000
Tm 0.0000 0.0000 0.2550
Tm 0.0016 0.5008 0.2507

Output
Total magnetization, μB per cell: 0.00
Energy above the lowest structure with this stoichiometry, meV per atom: 0
Energy relative to the elements, meV per atom: 129.5
Crystal system: trigonal
DFT total energy, eV for the cell shown: -199.8

Among the records above, which one has the lowest total magnetization? Tb3Sm4Tm8

DFT total energy of number 2 (CaTc2Hg)? -20.0 eV for the cell shown

DFT total energy of number 2 (CaTc2Hg)? -20.0 eV for the cell shown

What is the total magnetization in the third record? 0.00 μB per cell